! Tb5In2Bi PBE relaxed; values from VASP
&SYSTEM
  ibrav = 0, nat = 16, ntyp = 3
/
ATOMIC_SPECIES
Tb 158.93 Tb.upf
In 114.82 In.upf
Bi 208.98 Bi.upf
ATOMIC_POSITIONS crystal
Tb 0.000 0.000 0.000
Tb 0.004 0.504 0.807
Tb 0.198 0.004 0.500
Tb 0.302 0.802 0.807
Tb 0.496 0.302 0.500
Tb 0.500 0.500 0.000
Tb 0.504 0.698 0.500
Tb 0.698 0.198 0.193
Tb 0.802 0.996 0.500
Tb 0.996 0.496 0.193
In 0.146 0.354 0.500
In 0.354 0.854 0.208
In 0.646 0.146 0.792
In 0.854 0.646 0.500
Bi 0.250 0.250 0.000
Bi 0.750 0.750 0.000
CELL_PARAMETERS angstrom
-4.260 4.260 6.478
4.260 -4.260 6.478
4.260 4.260 -6.478
! energy of formation = -475 meV/atom
! uncorrected energy = -4.54 eV per atom